This record from Alexandria via LeMat-Bulk describes a relaxed Ce2SiPb crystal. The functional is PBE.

POSCAR file:
```
Ce2SiPb
1.0
4.922 0.000 0.000
2.461 4.263 0.000
2.461 1.421 5.246
Ce Pb Si
2 1 1
Direct
0.238 0.238 0.287
0.762 0.762 0.713
0.000 0.000 0.000
0.500 0.500 0.500
```

## Properties
For the magnetization, the calculation gives 1.0 μB/f.u. For the energy above the most stable polymorph in this dataset, the calculation gives 118 meV per atom. As for the formation energy without anion corrections: -342 meV/atom.



This record from Alexandria via LeMat-Bulk describes a relaxed Ce5SiPb2 crystal. The functional is PBE.

POSCAR file:
```
Ce5SiPb2
1.0
-4.898 2.166 0.768
-2.754 -5.196 -2.907
-0.817 -5.800 11.139
Pb Ce Si
4 10 2
Direct
0.500 0.107 0.347
0.500 0.893 0.653
0.500 0.393 0.847
0.500 0.607 0.153
0.000 0.500 0.000
0.500 0.874 0.917
0.000 0.851 0.232
0.000 0.351 0.268
0.000 0.149 0.768
0.500 0.126 0.083
0.500 0.374 0.583
0.000 0.000 0.500
0.500 0.626 0.417
0.000 0.649 0.732
0.000 0.500 0.500
0.000 0.000 0.000
```

## Properties
For the magnetization, the calculation gives 5.5 μB/f.u. As for the formation energy without anion corrections: -400 meV/atom.



This record from Alexandria via LeMat-Bulk describes a relaxed Ce7Si2Pb2 crystal. The functional is PBE.

POSCAR file:
```
Ce7Si2Pb2
1.0
-1.870 4.683 -5.122
0.038 -4.940 -4.533
-6.090 -2.605 2.790
Ce Si Pb
7 2 2
Direct
0.000 0.709 0.500
0.000 0.000 0.000
0.500 0.791 0.500
0.500 0.709 0.000
0.000 0.291 0.500
0.500 0.291 0.000
0.500 0.209 0.500
0.736 0.000 0.264
0.264 0.000 0.736
0.819 0.500 0.819
0.181 0.500 0.181
```

## Properties
For the magnetization, the calculation gives 7.2 μB/f.u. As for the formation energy without anion corrections: -204 meV/atom.



This record from Alexandria via LeMat-Bulk describes a relaxed Ce3SiPb crystal. The functional is PBE.

POSCAR file:
```
Ce3SiPb
1.0
0.964 -2.739 5.116
5.312 1.267 -1.441
-1.328 7.799 3.226
Ce Si Pb
6 2 2
Direct
0.020 0.210 0.192
0.360 0.626 0.182
0.099 0.304 0.531
0.901 0.696 0.469
0.980 0.790 0.808
0.640 0.374 0.818
0.855 0.680 0.122
0.145 0.320 0.878
0.551 0.172 0.364
0.449 0.828 0.636
```

## Properties
For the magnetization, the calculation gives 1.9 μB/f.u. As for the formation energy without anion corrections: -318 meV/atom.



Number 1: total DFT energy (no corrections) -22.37 eV for the cell shown. Number 2: total DFT energy (no corrections) -91.41 eV for the cell shown. Number 3: total DFT energy (no corrections) -62.05 eV for the cell shown. Number 4: total DFT energy (no corrections) -57.05 eV for the cell shown.